Record 1
Entry from the Alexandria database: an optimized crystal structure of ErPaMo (PBE-GGA).

Results
The density of states at the Fermi level comes out at 5.466 states/eV/f.u. The raw total energy comes out at -8.08 eV/atom. The calculated formation energy comes out at 0.7 eV/f.u. For the total magnetic moment, the calculation gives 0.000 μB per atom.

abc: 14.4353 14.4353 14.4353
angles: 167.31 167.31 17.98
Closest atoms and distances in Å follow each position.
Fractional coordinates of all 6 atoms:
Er 0.0582 0.0582 0.0000  5 Er 3.19-3.32, 4 Pa 3.49
Er 0.9418 0.9418 0.0000  5 Er 3.19-3.32, 4 Pa 3.49
Pa 0.3485 0.3485 0.0000  4 Mo 3.07, 4 Pa 3.19
Pa 0.6515 0.6515 0.0000  4 Mo 3.07, 4 Pa 3.19
Mo 0.2245 0.2245 0.0000  4 Mo 2.69
Mo 0.7755 0.7755 0.0000  4 Mo 2.69

Record 2
Entry from the Alexandria database: an optimized crystal structure of ErPaMo (PBE-GGA).

Results
The density of states at the Fermi level comes out at 5.416 states/eV/f.u. The raw total energy comes out at -7.41 eV/atom. The calculated formation energy comes out at 2.7 eV/f.u. For the total magnetic moment, the calculation gives 0.000 μB per atom.

abc: 7.8866 7.8866 7.8866
angles: 156.30 156.30 33.77
Closest atoms and distances in Å follow each position.
Fractional coordinates of all 3 atoms:
Er 0.0000 0.0000 0.0000  1 Mo 2.77
Pa 0.2088 0.2088 0.0000  4 Mo 2.81
Mo 0.8167 0.8167 0.0000  1 Er 2.77, 4 Pa 2.81

Sequential energy relative to the lowest polymorph listed for this composition output: 0; 663 meV per atom